DFT (GGA-PBE) results for crystalline Sr2PmYS4 at its relaxed geometry.

Calculated values
DOS at the Fermi energy   3.462 states/eV per cell
Volume   24.6 A^3/atom
VASP energy   -47.46 eV/cell
Raw formation energy   -2.047 eV per atom

Cell lengths 7.059, 4.078, 7.222 Å; angles 90.00, 109.02, 90.00 degrees
Element x y z (fractional)
Sr 0.000 0.000 0.000
Sr 0.500 0.500 0.000
Pm 0.000 0.500 0.500
Y 0.500 0.000 0.500
S 0.251 0.000 0.736
S 0.261 0.500 0.268
S 0.739 0.500 0.732
S 0.749 0.000 0.264